Here is an optimized crystal structure of Tb2Pm3Sc3 from Alexandria. Energies are from PBE-GGA.

Structure (CIF):
```
data_Tb2Pm3Sc3
_space_group_name_H-M_alt 'I m m m'
_space_group_IT_number 71
_space_group_name_Hall '-I 2 2'
_cell_length_a 4.831
_cell_length_b 4.973
_cell_length_c 19.878
_cell_angle_alpha 90.00
_cell_angle_beta 90.00
_cell_angle_gamma 90.00
loop_
_atom_site_label
_atom_site_type_symbol
_atom_site_fract_x
_atom_site_fract_y
_atom_site_fract_z
_atom_site_occupancy
Tb1 Tb 0.000 0.000 0.248 1
Pm1 Pm 0.000 0.000 0.000 1
Pm2 Pm 0.000 0.500 0.122 1
Sc1 Sc 0.000 0.000 0.500 1
Sc2 Sc 0.000 0.500 0.376 1
```

Properties
Energy relative to the elements (eV/atom): 0.05
M_tot (μB/cell): 0.0


Here is an optimized crystal structure of Mg2Sc7Tl2 from Alexandria. Energies are from PBE-GGA.

Structure (CIF):
```
data_Mg2Sc7Tl2
_space_group_name_H-M_alt 'C m m m'
_space_group_IT_number 65
_space_group_name_Hall '-C 2 2'
_cell_length_a 6.349
_cell_length_b 10.655
_cell_length_c 8.458
_cell_angle_alpha 90.00
_cell_angle_beta 90.00
_cell_angle_gamma 90.00
loop_
_atom_site_label
_atom_site_type_symbol
_atom_site_fract_x
_atom_site_fract_y
_atom_site_fract_z
_atom_site_occupancy
Mg1 Mg 0.000 0.228 0.000 1
Sc1 Sc 0.000 0.000 0.196 1
Sc2 Sc 0.000 0.500 0.000 1
Sc3 Sc 0.250 0.250 0.304 1
Tl1 Tl 0.239 0.500 0.500 1
```

Properties
Energy relative to the elements (eV/atom): 0.22
M_tot (μB/cell): 0.0


Here is an optimized crystal structure of Er8CuTe4Se3 from Alexandria. Energies are from PBE-GGA.

Structure (CIF):
```
data_Er8CuTe4Se3
_space_group_name_H-M_alt 'R -3 m'
_space_group_IT_number 166
_space_group_name_Hall '-R 3 2"'
_cell_length_a 8.3196
_cell_length_b 8.3196
_cell_length_c 20.9216
_cell_angle_alpha 90.00
_cell_angle_beta 90.00
_cell_angle_gamma 120.00
loop_
_atom_site_label
_atom_site_type_symbol
_atom_site_fract_x
_atom_site_fract_y
_atom_site_fract_z
_atom_site_occupancy
Er1 Er 0.0000 0.0000 0.2401 1
Er2 Er 0.0184 0.5092 0.2384 1
Cu1 Cu 0.0000 0.0000 0.5000 1
Te1 Te 0.0000 0.0000 0.0000 1
Te2 Te 0.0000 0.5000 0.0000 1
Se1 Se 0.0000 0.5000 0.5000 1
```

Properties
M_tot (μB/cell): 0.0
Uncorrected formation energy (meV/atom): -1312


Here is an optimized crystal structure of CaSm6Dy from Alexandria. Energies are from PBE-GGA.

Structure (CIF):
```
data_CaSm6Dy
_space_group_name_H-M_alt 'C 1 2/m 1'
_space_group_IT_number 12
_space_group_name_Hall '-C 2y'
_cell_length_a 11.481
_cell_length_b 5.152
_cell_length_c 10.341
_cell_angle_alpha 90.00
_cell_angle_beta 116.85
_cell_angle_gamma 90.00
loop_
_atom_site_label
_atom_site_type_symbol
_atom_site_fract_x
_atom_site_fract_y
_atom_site_fract_z
_atom_site_occupancy
Ca1 Ca 0.000 0.000 0.000 1
Sm1 Sm 0.002 0.500 0.742 1
Sm2 Sm 0.246 0.000 0.870 1
Sm3 Sm 0.248 0.500 0.620 1
Dy1 Dy 0.000 0.000 0.500 1
```

Properties
Energy relative to the elements (eV/atom): 0.05
M_tot (μB/cell): 0.0
Relative energy among the computed polymorphs (eV/atom): 0.0000


Here is an optimized crystal structure of NaMg2IrPb from Alexandria. Energies are from PBE-GGA.

Structure (CIF):
```
data_NaMg2IrPb
_space_group_name_H-M_alt 'P 4/m m m'
_space_group_IT_number 123
_space_group_name_Hall '-P 4 2'
_cell_length_a 4.978
_cell_length_b 4.978
_cell_length_c 4.871
_cell_angle_alpha 90.00
_cell_angle_beta 90.00
_cell_angle_gamma 90.00
loop_
_atom_site_label
_atom_site_type_symbol
_atom_site_fract_x
_atom_site_fract_y
_atom_site_fract_z
_atom_site_occupancy
Na1 Na 0.000 0.000 0.000 1
Mg1 Mg 0.000 0.500 0.000 1
Ir1 Ir 0.000 0.000 0.500 1
Pb1 Pb 0.500 0.500 0.500 1
```

Properties
Energy relative to the elements (eV/atom): 0.94
M_tot (μB/cell): 0.0
Relative energy among the computed polymorphs (eV/atom): 1.0252


Here is an optimized crystal structure of Nd4Y7Ho from Alexandria. Energies are from PBE-GGA.

Structure (CIF):
```
data_Nd4Y7Ho
_space_group_name_H-M_alt 'C 1 2/m 1'
_space_group_IT_number 12
_space_group_name_Hall '-C 2y'
_cell_length_a 12.184
_cell_length_b 5.932
_cell_length_c 12.917
_cell_angle_alpha 90.00
_cell_angle_beta 117.59
_cell_angle_gamma 90.00
loop_
_atom_site_label
_atom_site_type_symbol
_atom_site_fract_x
_atom_site_fract_y
_atom_site_fract_z
_atom_site_occupancy
Nd1 Nd 0.142 0.000 0.277 1
Nd2 Nd 0.213 0.500 0.160 1
Y1 Y 0.000 0.000 0.500 1
Y2 Y 0.073 0.500 0.805 1
Y3 Y 0.133 0.000 0.993 1
Y4 Y 0.211 0.500 0.423 1
Ho1 Ho 0.000 0.500 0.500 1
```

Properties
Energy relative to the elements (eV/atom): 0.27
M_tot (μB/cell): 0.8
Relative energy among the computed polymorphs (eV/atom): 0.0463


Here is an optimized crystal structure of TaPt4 from Alexandria. Energies are from PBE-GGA.

Structure (CIF):
```
data_TaPt4
_space_group_name_H-M_alt 'P m -3 m'
_space_group_IT_number 221
_space_group_name_Hall '-P 4 2 3'
_cell_length_a 4.810
_cell_length_b 4.810
_cell_length_c 4.810
_cell_angle_alpha 90.00
_cell_angle_beta 90.00
_cell_angle_gamma 90.00
loop_
_atom_site_label
_atom_site_type_symbol
_atom_site_fract_x
_atom_site_fract_y
_atom_site_fract_z
_atom_site_occupancy
Ta1 Ta 0.000 0.000 0.000 1
Pt1 Pt 0.000 0.000 0.500 1
Pt2 Pt 0.500 0.500 0.500 1
```

Properties
Energy relative to the elements (eV/atom): 1.17
M_tot (μB/cell): 0.0
Relative energy among the computed polymorphs (eV/atom): 1.7345


Here is an optimized crystal structure of Rb2ReSnN from Alexandria. Energies are from PBE-GGA.

Structure (CIF):
```
data_Rb2ReSnN
_space_group_name_H-M_alt 'P 4/m m m'
_space_group_IT_number 123
_space_group_name_Hall '-P 4 2'
_cell_length_a 6.374
_cell_length_b 6.374
_cell_length_c 3.807
_cell_angle_alpha 90.00
_cell_angle_beta 90.00
_cell_angle_gamma 90.00
loop_
_atom_site_label
_atom_site_type_symbol
_atom_site_fract_x
_atom_site_fract_y
_atom_site_fract_z
_atom_site_occupancy
Rb1 Rb 0.000 0.500 0.000 1
Re1 Re 0.000 0.000 0.500 1
Sn1 Sn 0.500 0.500 0.500 1
N1 N 0.000 0.000 0.000 1
```

Properties
M_tot (μB/cell): 1.2
Uncorrected formation energy (meV/atom): 571